[1]
Li2PuZr2Se6 | PBE-GGA | optimized geometry Values from VASP.

Structure (Quantum ESPRESSO input):
```
&SYSTEM
  ibrav = 0, nat = 11, ntyp = 4
/
ATOMIC_SPECIES
Li 6.94 Li.upf
Pu 244.00 Pu.upf
Zr 91.22 Zr.upf
Se 78.96 Se.upf
ATOMIC_POSITIONS crystal
Li 0.165 0.835 0.000
Li 0.835 0.165 0.000
Pu 0.000 0.000 0.500
Zr 0.334 0.666 0.500
Zr 0.666 0.334 0.500
Se 0.080 0.431 0.748
Se 0.267 0.267 0.250
Se 0.431 0.080 0.748
Se 0.569 0.920 0.252
Se 0.733 0.733 0.750
Se 0.920 0.569 0.252
CELL_PARAMETERS angstrom
3.388 -5.921 0.000
3.388 5.921 0.000
-2.270 0.000 6.502
```

Properties
**DFT total energy**: -71.07 eV per cell
**Uncorrected formation energy**: -1355 meV/atom


[2]
Pm2Ho2Pt3 | PBE-GGA | optimized geometry Values from VASP.

Structure (Quantum ESPRESSO input):
```
&SYSTEM
  ibrav = 0, nat = 14, ntyp = 3
/
ATOMIC_SPECIES
Pm 145.00 Pm.upf
Ho 164.93 Ho.upf
Pt 195.08 Pt.upf
ATOMIC_POSITIONS crystal
Pm 0.000 0.373 0.500
Pm 0.127 0.127 0.127
Pm 0.373 0.500 0.000
Pm 0.500 0.000 0.373
Ho 0.000 0.877 0.500
Ho 0.500 0.000 0.877
Ho 0.623 0.623 0.623
Ho 0.877 0.500 0.000
Pt 0.116 0.750 0.866
Pt 0.250 0.634 0.384
Pt 0.384 0.250 0.634
Pt 0.634 0.384 0.250
Pt 0.750 0.866 0.116
Pt 0.866 0.116 0.750
CELL_PARAMETERS angstrom
-4.414 4.414 4.414
4.414 -4.414 4.414
4.414 4.414 -4.414
```

Properties
**Energy relative to the lowest polymorph listed for this composition**: 0.000 eV/atom
**DFT total energy**: -88.34 eV per cell


[3]
SiHg | PBE-GGA | optimized geometry Values from VASP.

Structure (Quantum ESPRESSO input):
```
&SYSTEM
  ibrav = 0, nat = 12, ntyp = 2
/
ATOMIC_SPECIES
Si 28.09 Si.upf
Hg 200.59 Hg.upf
ATOMIC_POSITIONS crystal
Si 0.000 0.000 0.188
Si 0.000 0.000 0.812
Si 0.333 0.667 0.149
Si 0.333 0.667 0.480
Si 0.667 0.333 0.520
Si 0.667 0.333 0.851
Hg 0.000 0.000 0.387
Hg 0.000 0.000 0.613
Hg 0.333 0.667 0.716
Hg 0.333 0.667 0.948
Hg 0.667 0.333 0.052
Hg 0.667 0.333 0.284
CELL_PARAMETERS angstrom
3.790 0.000 0.000
-1.895 3.282 0.000
0.000 0.000 21.982
```

Properties
**Energy relative to the lowest polymorph listed for this composition**: 0.107 eV/atom
**DFT total energy**: -31.32 eV per cell
**Uncorrected formation energy**: 252 meV/atom


[4]
Dy2BeIr | PBE-GGA | optimized geometry Values from VASP.

Structure (Quantum ESPRESSO input):
```
&SYSTEM
  ibrav = 0, nat = 8, ntyp = 3
/
ATOMIC_SPECIES
Dy 162.50 Dy.upf
Be 9.01 Be.upf
Ir 192.22 Ir.upf
ATOMIC_POSITIONS crystal
Dy 0.209 0.250 0.427
Dy 0.283 0.750 0.070
Dy 0.717 0.250 0.930
Dy 0.791 0.750 0.573
Be 0.333 0.750 0.723
Be 0.667 0.250 0.277
Ir 0.155 0.250 0.777
Ir 0.845 0.750 0.223
CELL_PARAMETERS angstrom
5.597 0.000 0.000
0.000 3.981 0.000
-2.551 0.000 7.595
```

Properties
**Energy relative to the lowest polymorph listed for this composition**: 0.003 eV/atom
**DFT total energy**: -47.89 eV per cell


[5]
ZnW3 | PBE-GGA | optimized geometry Values from VASP.

Structure (Quantum ESPRESSO input):
```
&SYSTEM
  ibrav = 0, nat = 8, ntyp = 2
/
ATOMIC_SPECIES
Zn 65.41 Zn.upf
W 183.84 W.upf
ATOMIC_POSITIONS crystal
Zn 0.250 0.250 0.161
Zn 0.750 0.750 0.839
W 0.250 0.011 0.659
W 0.250 0.489 0.659
W 0.250 0.750 0.157
W 0.750 0.250 0.843
W 0.750 0.511 0.341
W 0.750 0.989 0.341
CELL_PARAMETERS angstrom
4.578 0.000 0.000
0.000 5.532 0.000
0.000 0.000 4.960
```

Properties
**Energy relative to the lowest polymorph listed for this composition**: 0.197 eV/atom
**DFT total energy**: -77.49 eV per cell


[6]
Ag4BiAu5 | PBE-GGA | optimized geometry Values from VASP.

Structure (Quantum ESPRESSO input):
```
&SYSTEM
  ibrav = 0, nat = 10, ntyp = 3
/
ATOMIC_SPECIES
Ag 107.87 Ag.upf
Bi 208.98 Bi.upf
Au 196.97 Au.upf
ATOMIC_POSITIONS crystal
Ag 0.000 0.000 0.095
Ag 0.000 0.000 0.284
Ag 0.000 0.000 0.716
Ag 0.000 0.000 0.905
Bi 0.000 0.000 0.500
Au 0.500 0.500 0.000
Au 0.500 0.500 0.188
Au 0.500 0.500 0.378
Au 0.500 0.500 0.622
Au 0.500 0.500 0.812
CELL_PARAMETERS angstrom
3.530 0.000 0.000
0.000 3.530 0.000
0.000 0.000 15.495
```

Properties
**DFT total energy**: -31.70 eV per cell


[7]
ZnSb2Os | PBE-GGA | optimized geometry Values from VASP.

Structure (Quantum ESPRESSO input):
```
&SYSTEM
  ibrav = 0, nat = 4, ntyp = 3
/
ATOMIC_SPECIES
Zn 65.41 Zn.upf
Sb 121.76 Sb.upf
Os 190.23 Os.upf
ATOMIC_POSITIONS crystal
Zn 0.000 0.000 0.000
Sb 0.000 0.500 0.500
Sb 0.500 0.000 0.500
Os 0.500 0.500 0.000
CELL_PARAMETERS angstrom
2.951 -3.872 0.000
2.951 3.872 0.000
0.000 0.000 3.381
```

Properties
**DFT total energy**: -18.51 eV per cell
**Uncorrected formation energy**: 560 meV/atom


[8]
YLuAlTl | PBE-GGA | optimized geometry Values from VASP.

Structure (Quantum ESPRESSO input):
```
&SYSTEM
  ibrav = 0, nat = 4, ntyp = 4
/
ATOMIC_SPECIES
Y 88.91 Y.upf
Lu 174.97 Lu.upf
Al 26.98 Al.upf
Tl 204.38 Tl.upf
ATOMIC_POSITIONS crystal
Y 0.000 0.000 0.000
Lu 0.500 0.500 0.500
Al 0.750 0.750 0.750
Tl 0.250 0.250 0.250
CELL_PARAMETERS angstrom
0.000 3.680 3.680
3.680 0.000 3.680
3.680 3.680 0.000
```

Properties
**DFT total energy**: -18.37 eV per cell


- Which of these has the lowest DFT total energy?
  Pm2Ho2Pt3


What did the fifth record say?
ZnW3 | PBE-GGA | optimized geometry Values from VASP.

Structure (Quantum ESPRESSO input):
```
&SYSTEM
  ibrav = 0, nat = 8, ntyp = 2
/
ATOMIC_SPECIES
Zn 65.41 Zn.upf
W 183.84 W.upf
ATOMIC_POSITIONS crystal
Zn 0.250 0.250 0.161
Zn 0.750 0.750 0.839
W 0.250 0.011 0.659
W 0.250 0.489 0.659
W 0.250 0.750 0.157
W 0.750 0.250 0.843
W 0.750 0.511 0.341
W 0.750 0.989 0.341
CELL_PARAMETERS angstrom
4.578 0.000 0.000
0.000 5.532 0.000
0.000 0.000 4.960
```

Properties
**Energy relative to the lowest polymorph listed for this composition**: 0.197 eV/atom
**DFT total energy**: -77.49 eV per cell


Copy entry 6 word for word.
Ag4BiAu5 | PBE-GGA | optimized geometry Values from VASP.

Structure (Quantum ESPRESSO input):
```
&SYSTEM
  ibrav = 0, nat = 10, ntyp = 3
/
ATOMIC_SPECIES
Ag 107.87 Ag.upf
Bi 208.98 Bi.upf
Au 196.97 Au.upf
ATOMIC_POSITIONS crystal
Ag 0.000 0.000 0.095
Ag 0.000 0.000 0.284
Ag 0.000 0.000 0.716
Ag 0.000 0.000 0.905
Bi 0.000 0.000 0.500
Au 0.500 0.500 0.000
Au 0.500 0.500 0.188
Au 0.500 0.500 0.378
Au 0.500 0.500 0.622
Au 0.500 0.500 0.812
CELL_PARAMETERS angstrom
3.530 0.000 0.000
0.000 3.530 0.000
0.000 0.000 15.495
```

Properties
**DFT total energy**: -31.70 eV per cell